Crystalline Nd4CuRh2 at its relaxed geometry, computed with GGA-PBE.

Summary:
The size of the total moment is 0.00 μB/f.u. Its formation enthalpy at 0 K is -3.16 eV/f.u.

abc: 7.731 7.738 7.742
angles: 110.07 109.11 109.08
Space group P1 (No. 1)
Asymmetric unit:
Nd1 0.000 0.000 0.000 [1 per cell]
Nd2 0.001 0.500 0.002 [1 per cell]
Nd3 0.121 0.726 0.604 [1 per cell]
Nd4 0.375 0.105 0.483 [1 per cell]
Nd5 0.500 0.624 0.878 [1 per cell]
Nd6 0.501 0.623 0.378 [1 per cell]
Nd7 0.621 0.228 0.103 [1 per cell]
Nd8 0.874 0.106 0.482 [1 per cell]
Cu1 0.248 0.240 0.864 [1 per cell]
Cu2 0.749 0.488 0.618 [1 per cell]
Rh1 0.131 0.364 0.372 [1 per cell]
Rh2 0.369 0.865 0.111 [1 per cell]
Rh3 0.631 0.995 0.741 [1 per cell]
Rh4 0.869 0.734 0.242 [1 per cell]